Computed, not measured: crystalline BaU3Se6 at its relaxed geometry at the PBE level of DFT.

```
BaU3Se6
1.0
-0.209 -2.415 3.420
-12.069 -2.497 -2.501
7.201 -8.301 -5.421
Ba U Se
2 6 12
Cartesian
-1.384 -10.719 -3.800
-3.694 -2.495 -0.703
-1.184 -6.766 -0.997
-3.893 -6.447 -3.506
-6.957 -5.888 -0.730
1.880 -7.325 -3.773
-5.703 -11.213 -4.413
0.625 -2.000 -0.090
1.597 -6.990 -0.985
-6.674 -6.223 -3.518
-1.411 -2.680 1.875
-3.666 -10.533 -6.377
-4.252 -9.218 -2.916
-0.825 -3.995 -1.587
-4.037 -5.931 -0.582
-1.040 -7.282 -3.921
1.902 -10.160 -3.204
-6.979 -3.053 -1.298
-9.755 -6.258 -1.162
4.677 -6.955 -3.340
```

- E: -138.917 eV for the cell shown
- Energy relative to the elements, uncorrected: -1.2764 eV/atom
- Symmetry: P2_1/m
- Size of the total moment: 2.97 μB per formula unit

=====

Computed, not measured: crystalline BaU2Se7 at its relaxed geometry at the PBE level of DFT.

```
BaU2Se7
1.0
5.376 0.000 0.000
0.000 7.910 0.098
0.000 -3.402 7.142
Ba U Se
1 2 7
Cartesian
0.000 0.000 0.000
2.688 4.547 2.192
2.688 -0.039 5.048
0.000 4.656 2.124
0.000 -0.147 5.115
2.688 -0.567 2.276
2.688 5.075 4.963
2.688 2.293 0.495
2.688 2.215 6.744
2.688 2.254 3.620
```

- E: -59.736 eV for the cell shown
- Energy relative to the elements, uncorrected: -1.0845 eV/atom
- Symmetry: Cmmm
- Size of the total moment: 0.43 μB per formula unit

=====

Computed, not measured: crystalline Ba3U2Se7 at its relaxed geometry at the PBE level of DFT.

```
Ba3U2Se7
1.0
-5.208 0.534 1.335
-0.014 -5.195 2.020
3.544 7.234 10.937
Ba U Se
3 2 7
Cartesian
-2.611 -2.330 1.678
-1.335 -0.657 5.989
-0.344 3.231 8.304
2.786 1.065 10.447
0.743 0.975 2.511
2.844 3.729 9.607
2.061 0.114 7.996
0.000 0.000 0.000
0.686 -1.689 3.351
-1.881 1.215 3.109
0.202 1.359 11.183
1.469 1.926 4.962
```

- E: -70.506 eV for the cell shown
- Energy relative to the elements, uncorrected: -1.4808 eV/atom
- Symmetry: Cmmm
- Size of the total moment: 4.00 μB per formula unit
- Energy relative to the lowest polymorph listed for this composition: 0.076 eV/atom

=====

Computed, not measured: crystalline Ba3U2Se7 at its relaxed geometry at the PBE level of DFT.

```
Ba3U2Se7
1.0
5.405 0.000 -1.016
-0.191 5.401 -1.016
-0.141 -0.146 14.136
Ba U Se
3 2 7
Cartesian
1.583 1.640 8.426
3.489 3.615 3.679
2.607 2.701 -1.016
0.504 0.523 2.684
4.568 4.733 9.421
0.000 0.000 0.000
4.689 2.058 10.064
1.891 4.759 10.064
0.383 3.197 2.040
3.181 0.496 2.040
1.002 1.038 5.332
4.071 4.217 6.773
```

- E: -71.422 eV for the cell shown
- Energy relative to the elements, uncorrected: -1.5572 eV/atom
- Symmetry: I4/mmm
- Size of the total moment: 4.00 μB per formula unit
- Energy relative to the lowest polymorph listed for this composition: 0.000 eV/atom

=====

Computed, not measured: crystalline BaU2Se6 at its relaxed geometry at the PBE level of DFT.

```
BaU2Se6
1.0
5.528 0.000 0.000
2.764 6.921 -0.565
2.764 2.198 8.272
Ba U Se
1 2 6
Cartesian
2.764 4.560 3.854
5.528 7.090 7.125
5.528 2.029 0.582
8.292 6.630 7.318
2.764 2.489 0.389
8.292 6.425 1.118
5.528 6.217 4.675
2.764 2.695 6.590
5.528 2.902 3.032
```

- E: -56.247 eV for the cell shown
- Energy relative to the elements, uncorrected: -1.2045 eV/atom
- Symmetry: C2/m
- Size of the total moment: 2.00 μB per formula unit
- Energy relative to the lowest polymorph listed for this composition: 0.000 eV/atom

=====

Computed, not measured: crystalline BaU6Se8 at its relaxed geometry at the PBE level of DFT.

```
BaU6Se8
1.0
-3.739 -6.675 0.197
4.379 -1.798 6.014
-5.227 3.533 4.333
Ba U Se
1 6 8
Cartesian
0.000 0.000 0.000
-4.100 -1.477 5.869
-0.888 -2.296 6.883
-2.744 -4.553 5.018
-0.487 -3.462 4.675
-3.700 -2.644 3.660
-1.843 -0.387 5.525
-3.319 -3.574 7.629
-1.268 -1.365 2.914
0.171 -4.995 6.989
-5.628 -4.462 4.715
-3.117 0.224 8.004
-4.758 0.056 3.555
1.041 -0.478 5.828
-1.470 -5.164 2.540
```

- E: -112.054 eV for the cell shown
- Energy relative to the elements, uncorrected: -0.9684 eV/atom
- Symmetry: R-3
- Size of the total moment: 4.29 μB per formula unit

=====

Please write out number 1 again, unchanged.
Computed, not measured: crystalline BaU3Se6 at its relaxed geometry at the PBE level of DFT.

```
BaU3Se6
1.0
-0.209 -2.415 3.420
-12.069 -2.497 -2.501
7.201 -8.301 -5.421
Ba U Se
2 6 12
Cartesian
-1.384 -10.719 -3.800
-3.694 -2.495 -0.703
-1.184 -6.766 -0.997
-3.893 -6.447 -3.506
-6.957 -5.888 -0.730
1.880 -7.325 -3.773
-5.703 -11.213 -4.413
0.625 -2.000 -0.090
1.597 -6.990 -0.985
-6.674 -6.223 -3.518
-1.411 -2.680 1.875
-3.666 -10.533 -6.377
-4.252 -9.218 -2.916
-0.825 -3.995 -1.587
-4.037 -5.931 -0.582
-1.040 -7.282 -3.921
1.902 -10.160 -3.204
-6.979 -3.053 -1.298
-9.755 -6.258 -1.162
4.677 -6.955 -3.340
```

- E: -138.917 eV for the cell shown
- Energy relative to the elements, uncorrected: -1.2764 eV/atom
- Symmetry: P2_1/m
- Size of the total moment: 2.97 μB per formula unit

=====

Question: energy relative to the elements, uncorrected of number 6 (BaU6Se8)?
Answer: -0.9684 eV/atom